(1)
## LiW (PBE)

Data for crystalline LiW at its relaxed geometry.

The structure in POSCAR format:
```
LiW
1.0
-5.218 5.218 1.448
5.218 -5.218 1.448
5.218 5.218 -1.448
Li W
4 4
direct
0.055 0.360 0.414
0.360 0.945 0.305
0.640 0.055 0.695
0.945 0.640 0.586
0.168 0.793 0.961
0.207 0.168 0.375
0.793 0.832 0.625
0.832 0.207 0.039
```

Output
Volume in Å³ per cell: 158
Total energy in eV per atom: -6.2593
M_tot in μB/cell: 0.0
Symmetry: I4/m
E_form in eV/atom: 1.174

(2)
## Li8W (PBE)

Data for crystalline Li8W at its relaxed geometry.

The structure in POSCAR format:
```
Li8W
1.0
-5.314 5.314 1.337
5.314 -5.314 1.337
5.314 5.314 -1.337
Li W
8 1
direct
0.000 0.323 0.323
0.000 0.677 0.677
0.323 0.000 0.323
0.336 0.336 0.672
0.336 0.664 0.000
0.664 0.336 0.000
0.664 0.664 0.328
0.677 0.000 0.677
0.000 0.000 0.000
```

Output
Volume in Å³ per cell: 151
Total energy in eV per atom: -2.8350
M_tot in μB/cell: 0.0
Symmetry: I4/mmm
E_form in eV/atom: 0.305

(3)
## LiW (PBE)

Data for crystalline LiW at its relaxed geometry.

The structure in POSCAR format:
```
LiW
1.0
0.000 2.383 2.383
2.383 0.000 2.383
2.383 2.383 0.000
Li W
1 1
direct
0.000 0.000 0.000
0.500 0.500 0.500
```

Output
Volume in Å³ per cell: 27
Total energy in eV per atom: -5.7262
M_tot in μB/cell: 0.0
Symmetry: Fm-3m
E_form in eV/atom: 1.707

(4)
## LiW (PBE)

Data for crystalline LiW at its relaxed geometry.

The structure in POSCAR format:
```
LiW
1.0
6.483 0.000 0.000
0.000 6.483 0.000
0.000 0.000 6.483
Li W
6 6
direct
0.000 0.250 0.500
0.000 0.750 0.500
0.250 0.500 0.000
0.500 0.000 0.250
0.500 0.000 0.750
0.750 0.500 0.000
0.000 0.500 0.250
0.000 0.500 0.750
0.250 0.000 0.500
0.500 0.250 0.000
0.500 0.750 0.000
0.750 0.000 0.500
```

Output
Volume in Å³ per cell: 272
Total energy in eV per atom: -3.9425
M_tot in μB/cell: 1.6
Symmetry: Pm-3n
E_form in eV/atom: 3.491

(5)
## LiW (PBE)

Data for crystalline LiW at its relaxed geometry.

The structure in POSCAR format:
```
LiW
1.0
3.306 0.000 0.000
-1.653 2.863 0.000
0.000 0.000 12.250
Li W
4 4
direct
0.000 0.000 0.250
0.000 0.000 0.750
0.333 0.667 0.250
0.667 0.333 0.750
0.333 0.667 0.569
0.333 0.667 0.931
0.667 0.333 0.069
0.667 0.333 0.431
```

Output
Volume in Å³ per cell: 116
Total energy in eV per atom: -6.5859
M_tot in μB/cell: 0.0
Symmetry: P6_3/mmc
E_form in eV/atom: 0.848

(6)
## LiW3 (PBE)

Data for crystalline LiW3 at its relaxed geometry.

The structure in POSCAR format:
```
LiW3
1.0
4.481 0.000 0.000
0.000 5.447 0.000
0.000 0.000 5.008
Li W
2 6
direct
0.250 0.250 0.161
0.750 0.750 0.839
0.250 0.013 0.655
0.250 0.487 0.655
0.250 0.750 0.137
0.750 0.250 0.863
0.750 0.513 0.345
0.750 0.987 0.345
```

Output
Volume in Å³ per cell: 122
Total energy in eV per atom: -9.6626
M_tot in μB/cell: 0.0
Symmetry: Pmmn
E_form in eV/atom: 0.531

(7)
## LiW (PBE)

Data for crystalline LiW at its relaxed geometry.

The structure in POSCAR format:
```
LiW
1.0
0.000 3.102 3.102
3.102 0.000 3.102
3.102 3.102 0.000
Li W
2 2
direct
0.125 0.125 0.125
0.875 0.875 0.875
0.375 0.375 0.375
0.625 0.625 0.625
```

Output
Volume in Å³ per cell: 60
Total energy in eV per atom: -6.7764
M_tot in μB/cell: 0.0
Symmetry: Fd-3m
E_form in eV/atom: 0.657

(8)
## LiW (PBE)

Data for crystalline LiW at its relaxed geometry.

The structure in POSCAR format:
```
LiW
1.0
1.275 -5.734 0.000
1.275 5.734 0.000
0.000 0.000 4.313
Li W
2 2
direct
0.054 0.946 0.750
0.946 0.054 0.250
0.304 0.696 0.750
0.696 0.304 0.250
```

Output
Volume in Å³ per cell: 63
Total energy in eV per atom: -6.9844
M_tot in μB/cell: 0.0
Symmetry: Cmcm
E_form in eV/atom: 0.449

(9)
## Li3W (PBE)

Data for crystalline Li3W at its relaxed geometry.

The structure in POSCAR format:
```
Li3W
1.0
3.964 0.000 0.000
0.000 3.964 0.000
0.000 0.000 3.964
Li W
3 1
direct
0.000 0.000 0.500
0.000 0.500 0.000
0.500 0.000 0.000
0.500 0.500 0.500
```

Output
Volume in Å³ per cell: 62
Total energy in eV per atom: -3.6990
M_tot in μB/cell: 2.8
Symmetry: Pm-3m
E_form in eV/atom: 0.975

(10)
## LiY2W (PBE)

Data for crystalline LiY2W at its relaxed geometry.

The structure in POSCAR format:
```
LiY2W
1.0
3.050 0.000 0.000
0.000 3.050 0.000
0.000 0.000 9.808
Li Y W
1 2 1
direct
0.000 0.000 0.000
0.000 0.000 0.424
0.500 0.500 0.745
0.500 0.500 0.196
```

Output
Volume in Å³ per cell: 91
Total energy in eV per atom: -6.3447
M_tot in μB/cell: 0.0
Symmetry: P4mm
E_form in eV/atom: 0.604

Which of these has the highest M_tot?
Li3W

Number 4 is which compound?
LiW

Which formula does entry 6 have?
LiW3

Number 4 is which compound?
LiW